NdB2Ir5 after structural relaxation. Source: Alexandria via LeMat-Bulk, functional PBE-GGA.

Formation energy (eV/atom): -0.336

Cell: 3.988 5.896 5.896 Å, 66.55 70.23 70.23°
Positions (direct):
Ir1 0.651 0.143 0.555
B1 0.240 0.260 0.260
Ir2 0.349 0.445 0.857
Ir3 0.651 0.555 0.143
Ir4 0.000 0.500 0.500
Ir5 0.349 0.857 0.445
Nd1 0.000 0.000 0.000
B2 0.760 0.740 0.740